Entry from Alexandria via LeMat-Bulk: a relaxed TaSb2Te crystal (GGA-PBE).

Cell and atoms, written as POSCAR:
```
TaSb2Te
1.0
-6.4535 3.3643 1.9298
-6.6911 -2.3629 2.5171
7.5083 0.4569 0.3276
Sb Te Ta
2 1 1
direct
0.6654 0.1654 0.5000 Sb
0.0208 0.0208 0.0000 Sb
0.3291 0.8291 0.5000 Te
0.4847 0.4847 0.0000 Ta
```

- total moment (Bohr magnetons per cell) = 0.0
- formation energy from raw total energies (meV/atom) = 206.2
- symmetry = Imm2 (44)



Entry from Alexandria via LeMat-Bulk: a relaxed TaTiSb2Te crystal (GGA-PBE).

Cell and atoms, written as POSCAR:
```
TaTiSb2Te
1.0
-1.3924 -1.9888 4.7776
5.1374 0.0636 1.5237
-0.6186 4.9478 1.8794
Ti Ta Sb Te
1 1 2 1
direct
0.5000 0.5000 0.5000 Ti
0.0000 0.0000 0.0000 Ta
0.5000 0.0000 0.0000 Sb
0.0000 0.5000 0.0000 Sb
0.0000 0.0000 0.5000 Te
```

- total moment (Bohr magnetons per cell) = 0.1
- energy relative to the lowest polymorph listed for this composition (eV per atom) = 0.0000
- formation energy from raw total energies (meV/atom) = 833.5
- symmetry = P4/mmm (123)



Entry from Alexandria via LeMat-Bulk: a relaxed TaTiSbTe2 crystal (GGA-PBE).

Cell and atoms, written as POSCAR:
```
TaTiSbTe2
1.0
-1.2320 -3.7995 3.6153
4.5960 1.0069 2.6244
-2.5245 3.6813 3.0085
Te Sb Ti Ta
2 1 1 1
direct
0.5000 0.0000 0.0000 Te
0.0000 0.5000 0.0000 Te
0.0000 0.0000 0.5000 Sb
0.5000 0.5000 0.5000 Ti
0.0000 0.0000 0.0000 Ta
```

- total moment (Bohr magnetons per cell) = 2.6
- energy relative to the lowest polymorph listed for this composition (eV per atom) = 0.0000
- formation energy from raw total energies (meV/atom) = 659.1
- symmetry = P4/mmm (123)



Entry from Alexandria via LeMat-Bulk: a relaxed TaTlSb2Te crystal (GGA-PBE).

Cell and atoms, written as POSCAR:
```
TaTlSb2Te
1.0
-0.1617 4.6025 2.9114
2.1750 -2.6157 4.2559
4.9964 1.2894 -1.7609
Sb Ta Te Tl
2 1 1 1
direct
0.0000 0.5000 0.0000 Sb
0.5000 0.0000 0.0000 Sb
0.0000 0.0000 0.0000 Ta
0.0000 0.0000 0.5000 Te
0.5000 0.5000 0.5000 Tl
```

- total moment (Bohr magnetons per cell) = 0.0
- energy relative to the lowest polymorph listed for this composition (eV per atom) = 0.0000
- formation energy from raw total energies (meV/atom) = 196.8
- symmetry = P4/mmm (123)



Entry from Alexandria via LeMat-Bulk: a relaxed YTaSb2Te crystal (GGA-PBE).

Cell and atoms, written as POSCAR:
```
YTaSb2Te
1.0
5.7170 0.0000 0.0000
0.0000 5.0386 0.0000
0.0000 0.0000 5.7170
Te Sb Y Ta
1 2 1 1
direct
0.0000 0.0000 0.0000 Te
0.0000 0.0000 0.5000 Sb
0.5000 0.0000 0.0000 Sb
0.5000 0.5000 0.5000 Y
0.0000 0.5000 0.0000 Ta
```

- total moment (Bohr magnetons per cell) = 1.1
- energy relative to the lowest polymorph listed for this composition (eV per atom) = 0.7574
- formation energy from raw total energies (meV/atom) = 915.1
- symmetry = P4/mmm (123)



Entry from Alexandria via LeMat-Bulk: a relaxed YTaSbTe2 crystal (GGA-PBE).

Cell and atoms, written as POSCAR:
```
YTaSbTe2
1.0
5.3895 0.0000 0.0000
0.0000 5.3895 0.0000
0.0000 0.0000 5.4184
Y Te Sb Ta
1 2 1 1
direct
0.5000 0.5000 0.5000 Y
0.5000 0.0000 0.0000 Te
0.0000 0.5000 0.0000 Te
0.0000 0.0000 0.5000 Sb
0.0000 0.0000 0.0000 Ta
```

- total moment (Bohr magnetons per cell) = 0.0
- energy relative to the lowest polymorph listed for this composition (eV per atom) = 0.0000
- formation energy from raw total energies (meV/atom) = 82.8
- symmetry = P4/mmm (123)



Number 4 is which compound? TaTlSb2Te



formation energy from raw total energies of number 4 (TaTlSb2Te)? 196.8 meV/atom